Computed, not measured: crystalline GdYAg2O4 at its relaxed geometry at the PBE-GGA level of DFT.

Geometry as POSCAR:
```
GdYAg2O4
1.0
3.519 0.000 0.000
-1.759 3.047 0.000
0.000 0.000 12.493
Gd Y Ag O
1 1 2 4
direct
0.000 0.000 0.000
0.000 0.000 0.500
0.333 0.667 0.749
0.667 0.333 0.251
0.333 0.667 0.584
0.333 0.667 0.915
0.667 0.333 0.085
0.667 0.333 0.416
```

Summary:
Raw total energy   -54.62 eV/cell
Magnetic moment   0.0 μB per formula unit

Computed, not measured: crystalline HoErAsI2 at its relaxed geometry at the PBE-GGA level of DFT.

Geometry as POSCAR:
```
HoErAsI2
1.0
4.147 0.000 0.000
-2.074 3.591 0.000
0.000 0.000 10.806
Ho Er As I
1 1 1 2
direct
0.000 0.000 0.000
0.667 0.333 0.719
0.333 0.667 0.858
0.000 0.000 0.533
0.667 0.333 0.186
```

Summary:
Raw total energy   -24.12 eV/cell
Magnetic moment   0.0 μB per formula unit

Computed, not measured: crystalline KNaHfTe3 at its relaxed geometry at the PBE-GGA level of DFT.

Geometry as POSCAR:
```
KNaHfTe3
1.0
3.813 -6.520 0.000
3.813 6.520 0.000
-2.381 0.000 7.919
K Na Hf Te
2 2 2 6
direct
0.153 0.847 0.000
0.847 0.153 0.000
0.000 0.000 0.500
0.500 0.500 0.000
0.329 0.671 0.500
0.671 0.329 0.500
0.070 0.428 0.707
0.309 0.309 0.291
0.428 0.070 0.707
0.572 0.930 0.293
0.691 0.691 0.709
0.930 0.572 0.293
```

Summary:
Raw total energy   -54.97 eV/cell
Magnetic moment   0.0 μB per formula unit
Energy above the lowest structure with this stoichiometry   0 meV/atom